# 1
# PBE ZnIr2Pt, optimized geometry
data_ZnIr2Pt
_chemical_formula_sum 'Zn4 Ir8 Pt4'
_space_group_name_H-M_alt 'F -4 3 m'
_space_group_IT_number 216
_space_group_name_Hall 'F -4 2 3'
_cell_length_a 6.2097
_cell_length_b 6.2097
_cell_length_c 6.2097
_cell_angle_alpha 90.00
_cell_angle_beta 90.00
_cell_angle_gamma 90.00
loop_
_atom_site_label
_atom_site_type_symbol
_atom_site_fract_x
_atom_site_fract_y
_atom_site_fract_z
_atom_site_occupancy
Zn1 Zn 0.0000 0.0000 0.0000 1
Ir1 Ir 0.0000 0.0000 0.5000 1
Ir2 Ir 0.2500 0.2500 0.2500 1
Pt1 Pt 0.2500 0.2500 0.7500 1
# Calculated total energy in eV/atom: -6.10
# Theoretical density in g/cm³: 17.89
# Crystal system: cubic

=====

# 2
# PBE BaAlZn, optimized geometry
data_BaAlZn
_chemical_formula_sum 'Ba4 Al4 Zn4'
_space_group_name_H-M_alt 'F -4 3 m'
_space_group_IT_number 216
_space_group_name_Hall 'F -4 2 3'
_cell_length_a 7.5403
_cell_length_b 7.5403
_cell_length_c 7.5403
_cell_angle_alpha 90.00
_cell_angle_beta 90.00
_cell_angle_gamma 90.00
loop_
_atom_site_label
_atom_site_type_symbol
_atom_site_fract_x
_atom_site_fract_y
_atom_site_fract_z
_atom_site_occupancy
Ba1 Ba 0.0000 0.0000 0.0000 1
Al1 Al 0.2500 0.2500 0.7500 1
Zn1 Zn 0.2500 0.2500 0.2500 1
# Calculated total energy in eV/atom: -1.81
# Theoretical density in g/cm³: 3.56
# Crystal system: cubic

=====

# 3
# PBE LaCuSiPt, optimized geometry
data_LaCuSiPt
_chemical_formula_sum 'La4 Cu4 Si4 Pt4'
_space_group_name_H-M_alt 'F -4 3 m'
_space_group_IT_number 216
_space_group_name_Hall 'F -4 2 3'
_cell_length_a 6.7973
_cell_length_b 6.7973
_cell_length_c 6.7973
_cell_angle_alpha 90.00
_cell_angle_beta 90.00
_cell_angle_gamma 90.00
loop_
_atom_site_label
_atom_site_type_symbol
_atom_site_fract_x
_atom_site_fract_y
_atom_site_fract_z
_atom_site_occupancy
La1 La 0.0000 0.0000 0.0000 1
Cu1 Cu 0.0000 0.0000 0.5000 1
Si1 Si 0.2500 0.2500 0.2500 1
Pt1 Pt 0.2500 0.2500 0.7500 1
# Calculated total energy in eV/atom: -5.28
# Theoretical density in g/cm³: 9.00
# Crystal system: cubic
# Polymorph energy (0 for the lowest one) in meV per atom: 149

=====

# 4
# PBE CsCuGeSe3, optimized geometry
data_CsCuGeSe3
_chemical_formula_sum 'Cs4 Cu4 Ge4 Se12'
_space_group_name_H-M_alt 'C m c m'
_space_group_IT_number 63
_space_group_name_Hall '-C 2c 2'
_cell_length_a 3.8002
_cell_length_b 16.3029
_cell_length_c 10.5917
_cell_angle_alpha 90.00
_cell_angle_beta 90.00
_cell_angle_gamma 90.00
loop_
_atom_site_label
_atom_site_type_symbol
_atom_site_fract_x
_atom_site_fract_y
_atom_site_fract_z
_atom_site_occupancy
Cs1 Cs 0.0000 0.2426 0.2500 1
Cu1 Cu 0.0000 0.0459 0.7500 1
Ge1 Ge 0.0000 0.5000 0.0000 1
Se1 Se 0.0000 0.1104 0.5461 1
Se2 Se 0.0000 0.4526 0.7500 1
# Calculated total energy in eV/atom: -3.70
# Theoretical density in g/cm³: 5.12
# Crystal system: orthorhombic
# Polymorph energy (0 for the lowest one) in meV per atom: 57

=====

> Which of these has the highest calculated total energy?

BaAlZn